Computed, not measured: a relaxed structure of CrSiP2 at the PBE-GGA level of DFT.

## Properties
E_tot in eV per atom: -6.274
E_form (uncorrected) in eV/atom: 0.192

a = 4.045 Å, b = 3.353 Å, c = 4.317 Å
α = 103.26°, β = 90.00°, γ = 90.00°
Element x y z (fractional)
Si: 0.500 0.250 0.250
P: 0.000 0.675 0.479
Cr: 0.500 0.750 0.750
P: 0.000 0.825 0.021